{"formula": "AlAs2Se", "functional": "PBE", "state": "optimized geometry", "lattice": [[-2.9539, 0.6658, -1.3807], [-2.2352, -1.1575, 4.2241], [0.3447, 4.4187, 1.3932]], "species": ["As", "Al", "Se", "As"], "frac_coords": [[0.5000, 0.5000, 0.0000], [0.0000, 0.5000, 0.5000], [0.5000, 0.0000, 0.5000], [0.0000, 0.0000, 0.0000]], "magnetic_moment_mub_per_fu": 0.000, "n_ef_per_ev_fu": 1.79, "volume_a3_per_cell": 76, "final_energy_ev_per_atom": -3.899, "relative_energy_mev_per_atom": 496.0, "e_form_raw_mev_per_atom": 233, "space_group": "Pmmm, No. 47"}